The following is a DFT calculation (PBEsol) of Cd2SiRh after structural relaxation.

Values from the calculation:
Crystal system: trigonal
ΔE_f (raw) (eV per atom): 0.219

a b c (Å): 2.8968 2.8968 9.5367
angles (deg): 81.26 81.26 60.00
Closest atoms and distances in Å follow each position.
Element x y z (fractional)
Si  0.0000  0.0000  0.0000  6 Si 2.90, 6 Cd 3.00
Cd  0.7549  0.7549  0.7353  3 Rh 2.77, 6 Cd 2.90, 3 Si 3.00
Rh  0.5000  0.5000  0.5000  6 Cd 2.77, 6 Rh 2.90
Cd  0.2451  0.2451  0.2647  3 Rh 2.77, 6 Cd 2.90, 3 Si 3.00

The following is a DFT calculation (PBEsol) of Hf2HgBiP after structural relaxation.

Values from the calculation:
Crystal system: tetragonal
DFT formation energy (eV per atom): 0.18

a b c (Å): 4.8103 4.8103 5.3063
angles (deg): 90.00 90.00 90.00
Closest atoms and distances in Å follow each position.
Element x y z (fractional)
P  0.0000  0.0000  0.0000  4 Hf 2.41, 2 Bi 2.65
Bi  0.0000  0.0000  0.5000  2 P 2.65
Hf  0.5000  0.0000  0.0000  2 P 2.41
Hg  0.5000  0.5000  0.5000  4 Bi 3.40, 8 Hf 3.58
Hf  0.0000  0.5000  0.0000  2 P 2.41

The following is a DFT calculation (PBEsol) of SiIr3Se after structural relaxation.

Values from the calculation:
Crystal system: cubic
ΔE_f (raw) (eV per atom): 1.033

a b c (Å): 4.4172 4.4172 4.4172
angles (deg): 90.00 90.00 90.00
Closest atoms and distances in Å follow each position.
Element x y z (fractional)
Ir  0.0000  0.0000  0.5000  2 Si 2.21
Si  0.0000  0.0000  0.0000  6 Ir 2.21
Ir  0.0000  0.5000  0.0000  2 Si 2.21
Ir  0.5000  0.0000  0.0000  2 Si 2.21
Se  0.5000  0.5000  0.5000  12 Ir 3.12

The following is a DFT calculation (PBEsol) of BiB2PtO after structural relaxation.

Values from the calculation:
Crystal system: tetragonal
ΔE_f (raw) (eV per atom): 1.166

a b c (Å): 3.8767 3.8767 4.6123
angles (deg): 90.00 90.00 90.00
Closest atoms and distances in Å follow each position.
Element x y z (fractional)
Pt  0.5000  0.5000  0.5000  4 Bi 2.74, 8 B 3.01
O  0.0000  0.0000  0.0000  4 B 1.94
B  0.0000  0.5000  0.0000  2 O 1.94
B  0.5000  0.0000  0.0000  2 O 1.94
Bi  0.0000  0.0000  0.5000  2 O 2.31

The following is a DFT calculation (PBEsol) of NaCr5Se8 after structural relaxation.

Values from the calculation:
Crystal system: monoclinic
ΔE_f (raw) (eV per atom): -0.538

a b c (Å): 3.6144 8.7254 9.5257
angles (deg): 105.29 100.94 90.00
Closest atoms and distances in Å follow each position.
Element x y z (fractional)
Se  0.4246  0.8447  0.8492  4 Cr 2.46-2.50
Cr  0.3440  0.0308  0.6879  6 Se 2.47-2.62
Se  0.0808  0.8107  0.1615  3 Cr 2.47-2.52
Se  0.9192  0.1893  0.8385  3 Cr 2.47-2.52
Cr  0.2964  0.6658  0.5929  6 Se 2.45-2.58
Na  0.5000  0.5000  0.0000  10 Se 3.27-3.66, 2 Na 3.61
Cr  0.7036  0.3342  0.4071  6 Se 2.45-2.58
Cr  0.0000  0.0000  0.0000  6 Se 2.46-2.52
Se  0.7629  0.8462  0.5259  5 Cr 2.51-2.62
Cr  0.6560  0.9692  0.3121  6 Se 2.47-2.62
Se  0.8308  0.5071  0.6616  3 Cr 2.45-2.46
Se  0.1692  0.4929  0.3384  3 Cr 2.45-2.46
Se  0.2371  0.1538  0.4741  5 Cr 2.51-2.62
Se  0.5754  0.1553  0.1508  4 Cr 2.46-2.50

The following is a DFT calculation (PBEsol) of BPN2 after structural relaxation.

Values from the calculation:
Crystal system: trigonal
ΔE_f (raw) (eV per atom): 0.168

a b c (Å): 3.0200 3.0200 5.1500
angles (deg): 72.95 72.95 60.00
Closest atoms and distances in Å follow each position.
Element x y z (fractional)
P  0.5000  0.5000  0.5000  6 N 2.04
N  0.9061  0.9061  0.2818  1 B 1.37
N  0.0939  0.0939  0.7182  1 B 1.37
B  0.0000  0.0000  0.0000  2 N 1.37

Number 1: volume 17.06 Å³/atom. Number 2: volume 24.56 Å³/atom. Number 3: volume 17.24 Å³/atom. Number 4: volume 13.86 Å³/atom. Number 5: volume 20.29 Å³/atom. Number 6: volume 9.57 Å³/atom.